Density functional theory data (PBE-GGA) for AcGdSb after structural relaxation.

```
3
Lattice="-5.068 -1.007 1.433 -4.051 2.004 -2.886 -3.034 -3.260 -2.988" Properties=species:S:1:pos:R:3 pbc="T T T"
Ac 0.000 0.000 0.000
Sb -9.115 -1.697 -3.330
Gd -6.076 -1.131 -2.220
```

Output
As for the total energy: -4.8052 eV per atom. The crystal system is cubic.

Density functional theory data (PBE-GGA) for BaTl2Cu after structural relaxation.

```
4
Lattice="0.000 3.870 3.870 3.870 0.000 3.870 3.870 3.870 0.000" Properties=species:S:1:pos:R:3 pbc="T T T"
Cu 1.935 1.935 1.935
Tl 5.805 5.805 5.805
Tl 0.000 0.000 0.000
Ba 3.870 3.870 3.870
```

Output
As for the total energy: -2.6202 eV per atom. The crystal system is cubic.

Density functional theory data (PBE-GGA) for MgTlSiIr after structural relaxation.

```
4
Lattice="0.000 3.269 3.269 3.269 0.000 3.269 3.269 3.269 0.000" Properties=species:S:1:pos:R:3 pbc="T T T"
Mg 4.903 4.903 4.903
Ir 1.634 1.634 1.634
Si 0.000 0.000 0.000
Tl 3.269 3.269 3.269
```

Output
As for the total energy: -4.3231 eV per atom. The crystal system is cubic.

Density functional theory data (PBE-GGA) for NdGdAg2As4 after structural relaxation.

```
8
Lattice="4.042 0.000 0.000 0.000 4.042 0.000 0.000 0.000 10.454" Properties=species:S:1:pos:R:3 pbc="T T T"
Nd 2.021 2.021 7.590
As 2.021 0.000 5.176
As 2.021 2.021 1.945
As 0.000 0.000 8.577
As 0.000 2.021 5.176
Ag 2.021 0.000 0.029
Ag 0.000 2.021 0.029
Gd 0.000 0.000 2.841
```

Output
As for the total energy: -4.9793 eV per atom. The crystal system is tetragonal.

Density functional theory data (PBE-GGA) for TbMoIr after structural relaxation.

```
3
Lattice="-2.657 3.422 -1.325 -2.237 2.455 3.081 1.240 4.280 0.821" Properties=species:S:1:pos:R:3 pbc="T T T"
Ir 0.000 0.000 0.000
Mo -2.741 7.618 1.933
Tb -0.914 2.539 0.644
```

Output
As for the total energy: -7.9473 eV per atom. The crystal system is cubic.

Density functional theory data (PBE-GGA) for HfTaSe4 after structural relaxation.

```
6
Lattice="-0.970 3.372 -0.606 -2.239 -2.661 -0.763 -5.060 0.746 12.246" Properties=species:S:1:pos:R:3 pbc="T T T"
Se -3.160 0.466 7.647
Se -1.900 0.280 4.599
Se -2.045 1.457 0.920
Se -5.801 2.011 10.009
Hf 0.000 0.000 0.000
Ta -3.923 1.734 5.465
```

Output
As for the total energy: -6.9298 eV per atom. The crystal system is hexagonal.

Density functional theory data (PBE-GGA) for AcMgCd after structural relaxation.

```
18
Lattice="-5.330 -1.029 7.617 5.761 6.954 -2.436 -7.976 -0.406 -4.868" Properties=species:S:1:pos:R:3 pbc="T T T"
Cd -1.554 6.352 -4.218
Cd -8.767 0.484 3.092
Cd -1.898 4.164 4.309
Cd -5.437 4.237 -1.477
Cd -0.452 3.078 -0.565
Cd -4.329 0.962 2.176
Mg -6.272 1.892 -3.327
Mg 0.004 0.060 0.053
Mg -2.503 5.238 -1.471
Mg -1.103 3.334 -3.599
Mg 0.598 5.570 -2.108
Mg -1.394 1.962 2.184
Ac -4.146 4.366 1.710
Ac -7.133 1.921 0.424
Ac -3.041 1.093 5.364
Ac -4.477 4.785 -4.736
Ac -0.266 5.601 1.641
Ac -3.373 1.509 -1.085
```

Output
As for the total energy: -2.4413 eV per atom. The crystal system is hexagonal.

Density functional theory data (PBE-GGA) for NbFeHg after structural relaxation.

```
3
Lattice="3.967 1.085 1.232 0.836 4.022 1.249 0.810 0.840 4.131" Properties=species:S:1:pos:R:3 pbc="T T T"
Hg 1.403 1.487 1.653
Fe 0.000 0.000 0.000
Nb 4.210 4.460 4.959
```

Output
As for the total energy: -5.6919 eV per atom. The crystal system is cubic.

Density functional theory data (PBE-GGA) for LuCdGaCo after structural relaxation.

```
4
Lattice="-1.918 -4.192 0.291 -3.701 -0.666 2.682 -4.128 -0.789 -1.916" Properties=species:S:1:pos:R:3 pbc="T T T"
Cd -4.874 -2.823 0.529
Ga 0.000 0.000 0.000
Lu -2.437 -1.412 0.264
Co -7.311 -4.235 0.793
```

Output
As for the total energy: -3.9758 eV per atom. The crystal system is cubic.

Density functional theory data (PBE-GGA) for KAgC2S2N2 after structural relaxation.

```
64
Lattice="-1.172 -1.223 -6.497 17.664 -2.075 -2.796 -0.897 -10.525 2.143" Properties=species:S:1:pos:R:3 pbc="T T T"
N 9.912 -10.988 -4.560
N 10.699 -6.333 -7.638
N 1.696 -7.683 -0.959
N 2.441 -4.698 -3.065
N 13.898 -6.141 -6.192
N 10.651 -8.592 -1.675
N 12.387 -11.847 -6.905
N 3.207 -1.976 -0.246
N 4.128 -10.212 -2.331
N 4.895 -7.490 0.488
N 4.943 -5.231 -5.476
N 5.682 -2.836 -2.590
N 0.957 -10.078 -3.844
N 14.637 -3.745 -3.306
N 13.153 -9.125 -4.086
N 11.465 -3.612 -4.819
Ag 8.157 -5.364 -2.751
Ag 7.437 -8.459 -4.399
Ag 16.082 -9.692 -6.836
Ag 7.790 -3.402 -6.524
Ag 16.449 -11.654 -3.063
Ag 7.804 -10.421 -0.627
Ag -0.488 -4.131 -0.315
Ag -0.855 -2.169 -4.087
K 11.337 -9.156 -6.238
K 2.745 -7.867 -3.506
K 12.848 -5.956 -3.644
K 3.111 -9.848 0.270
K 11.702 -11.137 -2.462
K 3.892 -2.687 -4.688
K 12.483 -3.975 -7.420
K 4.257 -4.667 -0.912
S 0.304 -6.793 -5.580
S 5.917 -6.556 -3.169
S 15.202 -12.113 -7.101
S 0.392 -1.710 -0.049
S 8.740 -3.253 -4.133
S 5.762 -2.119 -7.445
S 9.832 -11.704 0.294
S 6.854 -10.570 -3.017
S 7.618 -7.874 -0.193
S 15.965 -9.418 -4.277
S 7.976 -5.949 -6.958
S 0.460 -11.230 -1.304
S 15.290 -7.030 -1.570
S 15.134 -2.593 -5.846
S 9.677 -7.267 -3.982
S -0.371 -4.406 -2.874
C 0.737 -10.543 -2.779
C 1.589 -6.812 -0.165
C 14.005 -7.012 -6.985
C 10.320 -3.490 -4.535
C 2.027 -1.890 -0.150
C 14.327 -9.276 -4.169
C 5.274 -10.333 -2.616
C 6.219 -2.040 -1.899
C 5.367 -5.772 -4.512
C 14.857 -3.280 -4.372
C 13.567 -11.933 -7.001
C 6.034 -7.676 0.216
C 10.227 -8.052 -2.638
C 9.559 -6.147 -7.367
C 9.375 -11.783 -5.252
C 1.267 -4.547 -2.982
```

Output
As for the total energy: -6.0208 eV per atom. The crystal system is orthorhombic.

Density functional theory data (PBE-GGA) for Y2ErLu4Ni2Te2 after structural relaxation.

```
11
Lattice="-4.276 -8.043 1.423 1.971 5.234 7.330 -4.885 -2.779 -7.309" Properties=species:S:1:pos:R:3 pbc="T T T"
Te -0.320 -0.390 1.215
Te -5.144 -6.098 -0.804
Y -6.504 -7.693 -3.163
Y -3.114 -3.687 -0.984
Lu -5.725 -3.849 1.314
Lu -0.679 2.124 3.046
Lu -3.376 -1.062 1.313
Lu 0.989 4.082 5.628
Ni -3.116 -3.716 2.106
Ni -3.619 -1.318 -2.388
Er -1.095 -1.335 4.158
```

Output
As for the total energy: -5.4824 eV per atom. The crystal system is orthorhombic.

Density functional theory data (PBE-GGA) for CuI2 after structural relaxation.

```
6
Lattice="3.959 0.000 0.000 -1.979 3.428 0.000 0.000 0.000 13.091" Properties=species:S:1:pos:R:3 pbc="T T T"
I 0.000 2.286 13.033
I 0.000 0.000 9.869
I 0.000 0.000 3.323
I 1.979 1.143 6.488
Cu 1.979 1.143 11.461
Cu 0.000 2.286 4.915
```

Output
As for the total energy: -2.2813 eV per atom. The crystal system is hexagonal.